Version one
Here is a relaxed ZrTcAs2 crystal from Alexandria via LeMat-Bulk. Energies are from PBE.

## Properties
Space group: I-42d
DOS(E_F) in states/eV per cell: 6.905
Crystal system: tetragonal

Lattice parameters (Å, degrees): 7.793 7.793 7.793 140.93 140.93 56.44
Element x y z (fractional)
Zr (0.000, 0.000, 0.000)
Zr (0.750, 0.250, 0.500)
Tc (0.250, 0.750, 0.500)
Tc (0.500, 0.500, 0.000)
As (0.176, 0.625, 0.051)
As (0.375, 0.426, 0.551)
As (0.574, 0.125, 0.949)
As (0.875, 0.824, 0.449)

---

Version two
Here is a relaxed ZrTcAs2 crystal from Alexandria via LeMat-Bulk. Energies are from PBE.

## Properties
Space group: Cm
DOS(E_F) in states/eV per cell: 2.311
Crystal system: monoclinic

Lattice parameters (Å, degrees): 4.919 4.919 4.732 104.07 104.07 38.72
Element x y z (fractional)
Zr (0.000, 0.000, 0.000)
Tc (0.234, 0.234, 0.602)
As (0.511, 0.511, 0.504)
As (0.743, 0.743, 0.166)

---

Of them, version one has the lowest stability.

---

Version one
Here is a relaxed ZrTcAs2 crystal from Alexandria via LeMat-Bulk. Energies are from PBE.

## Properties
Space group: R-3m
DOS(E_F) in states/eV per cell: 3.944
Crystal system: trigonal

Lattice parameters (Å, degrees): 8.326 8.326 8.326 21.91 21.91 21.91
Element x y z (fractional)
Zr (0.000, 0.000, 0.000)
Tc (0.500, 0.500, 0.500)
As (0.240, 0.240, 0.240)
As (0.760, 0.760, 0.760)

---

Version two
Here is a relaxed ZrTcAs2 crystal from Alexandria via LeMat-Bulk. Energies are from PBE.

## Properties
Space group: R3m
DOS(E_F) in states/eV per cell: 3.522
Crystal system: trigonal

Lattice parameters (Å, degrees): 8.384 8.384 8.384 22.43 22.43 22.43
Element x y z (fractional)
Zr (0.000, 0.000, 0.000)
Tc (0.752, 0.752, 0.752)
As (0.248, 0.248, 0.248)
As (0.486, 0.486, 0.486)

---

Of them, version two has the lowest stability.

---

Version one
Here is a relaxed ZrTcAs2 crystal from Alexandria via LeMat-Bulk. Energies are from PBE.

## Properties
Space group: I-4m2
DOS(E_F) in states/eV per cell: 3.090
Crystal system: tetragonal

Lattice parameters (Å, degrees): 5.118 5.118 5.118 133.62 133.62 67.69
Element x y z (fractional)
Zr (0.000, 0.000, 0.000)
Tc (0.750, 0.250, 0.500)
As (0.250, 0.750, 0.500)
As (0.500, 0.500, 0.000)

---

Version two
Here is a relaxed ZrTcAs2 crystal from Alexandria via LeMat-Bulk. Energies are from PBE.

## Properties
Space group: P4mm
DOS(E_F) in states/eV per cell: 3.150
Crystal system: tetragonal

Lattice parameters (Å, degrees): 3.168 3.168 7.982 90.00 90.00 90.00
Element x y z (fractional)
Zr (0.000, 0.000, 0.000)
Tc (0.500, 0.500, 0.768)
As (0.000, 0.000, 0.614)
As (0.500, 0.500, 0.236)

---

Of them, version one has the lowest stability.

---

Version one
Here is a relaxed ZrTcAs2 crystal from Alexandria via LeMat-Bulk. Energies are from PBE.

## Properties
Space group: P4mm
DOS(E_F) in states/eV per cell: 1.531
Crystal system: tetragonal

Lattice parameters (Å, degrees): 3.424 3.424 5.946 90.00 90.00 90.00
Element x y z (fractional)
Zr (0.000, 0.000, 0.000)
Tc (0.500, 0.500, 0.677)
As (0.000, 0.000, 0.499)
As (0.500, 0.500, 0.188)

---

Version two
Here is a relaxed ZrTcAs2 crystal from Alexandria via LeMat-Bulk. Energies are from PBE.

## Properties
Space group: Immm
DOS(E_F) in states/eV per cell: 3.842
Crystal system: orthorhombic

Lattice parameters (Å, degrees): 5.192 5.192 5.192 142.82 120.74 72.07
Element x y z (fractional)
Zr (0.000, 0.000, 0.000)
Tc (0.500, 0.500, 0.000)
As (0.274, 0.774, 0.500)
As (0.726, 0.226, 0.500)

---

Version three
Here is a relaxed ZrTcAs2 crystal from Alexandria via LeMat-Bulk. Energies are from PBE.

## Properties
Space group: Fm-3m
DOS(E_F) in states/eV per cell: 3.859
Crystal system: cubic

Lattice parameters (Å, degrees): 4.568 4.568 4.568 60.00 60.00 60.00
Element x y z (fractional)
Zr (0.000, 0.000, 0.000)
Tc (0.500, 0.500, 0.500)
As (0.250, 0.250, 0.250)
As (0.750, 0.750, 0.750)

---

Of them, version two has the lowest stability.

---

Version one
Here is a relaxed Zr3TcAs crystal from Alexandria via LeMat-Bulk. Energies are from PBE.

## Properties
Space group: Pm-3m
DOS(E_F) in states/eV per cell: 7.881
Crystal system: cubic

Lattice parameters (Å, degrees): 4.989 4.989 4.989 90.00 90.00 90.00
Element x y z (fractional)
Zr (0.000, 0.000, 0.500)
Zr (0.000, 0.500, 0.000)
Zr (0.500, 0.000, 0.000)
Tc (0.000, 0.000, 0.000)
As (0.500, 0.500, 0.500)

---

Version two
Here is a relaxed Zr3TcAs crystal from Alexandria via LeMat-Bulk. Energies are from PBE.

## Properties
Space group: Pm-3m
DOS(E_F) in states/eV per cell: 4.559
Crystal system: cubic

Lattice parameters (Å, degrees): 4.939 4.939 4.939 90.00 90.00 90.00
Element x y z (fractional)
Zr (0.000, 0.000, 0.500)
Zr (0.000, 0.500, 0.000)
Zr (0.500, 0.000, 0.000)
Tc (0.500, 0.500, 0.500)
As (0.000, 0.000, 0.000)

---

Of them, version two has the lowest stability.

---

Version one
Here is a relaxed ZrTc3As crystal from Alexandria via LeMat-Bulk. Energies are from PBE.

## Properties
Space group: Pm-3m
DOS(E_F) in states/eV per cell: 5.031
Crystal system: cubic

Lattice parameters (Å, degrees): 4.533 4.533 4.533 90.00 90.00 90.00
Element x y z (fractional)
Zr (0.000, 0.000, 0.000)
Tc (0.000, 0.500, 0.500)
Tc (0.500, 0.000, 0.500)
Tc (0.500, 0.500, 0.000)
As (0.500, 0.500, 0.500)

---

Version two
Here is a relaxed ZrTc3As crystal from Alexandria via LeMat-Bulk. Energies are from PBE.

## Properties
Space group: Pm-3m
DOS(E_F) in states/eV per cell: 4.405
Crystal system: cubic

Lattice parameters (Å, degrees): 4.790 4.790 4.790 90.00 90.00 90.00
Element x y z (fractional)
Zr (0.000, 0.000, 0.000)
Tc (0.000, 0.000, 0.500)
Tc (0.000, 0.500, 0.000)
Tc (0.500, 0.000, 0.000)
As (0.500, 0.500, 0.500)

---

Of them, version two has the lowest stability.

---

Version one
Here is a relaxed ZrTcAs3 crystal from Alexandria via LeMat-Bulk. Energies are from PBE.

## Properties
Space group: Pm-3m
DOS(E_F) in states/eV per cell: 4.161
Crystal system: cubic

Lattice parameters (Å, degrees): 4.799 4.799 4.799 90.00 90.00 90.00
Element x y z (fractional)
Zr (0.000, 0.000, 0.000)
Tc (0.500, 0.500, 0.500)
As (0.000, 0.500, 0.500)
As (0.500, 0.000, 0.500)
As (0.500, 0.500, 0.000)

---

Version two
Here is a relaxed ZrTcAs3 crystal from Alexandria via LeMat-Bulk. Energies are from PBE.

## Properties
Space group: Pm-3m
DOS(E_F) in states/eV per cell: 5.578
Crystal system: cubic

Lattice parameters (Å, degrees): 5.141 5.141 5.141 90.00 90.00 90.00
Element x y z (fractional)
Zr (0.000, 0.000, 0.000)
Tc (0.500, 0.500, 0.500)
As (0.000, 0.000, 0.500)
As (0.000, 0.500, 0.000)
As (0.500, 0.000, 0.000)

---

Of them, version two has the lowest stability.

---

Version one
Here is a relaxed ZrTc2As2 crystal from Alexandria via LeMat-Bulk. Energies are from PBE.

## Properties
Space group: I4/mmm
DOS(E_F) in states/eV per cell: 1.690
Crystal system: tetragonal

Lattice parameters (Å, degrees): 5.451 5.451 5.451 131.14 131.14 71.59
Element x y z (fractional)
Zr (0.000, 0.000, 0.000)
Tc (0.370, 0.370, 0.000)
Tc (0.630, 0.630, 0.000)
As (0.250, 0.750, 0.500)
As (0.750, 0.250, 0.500)

---

Version two
Here is a relaxed ZrTc2As2 crystal from Alexandria via LeMat-Bulk. Energies are from PBE.

## Properties
Space group: P4/mbm
DOS(E_F) in states/eV per cell: 9.503
Crystal system: tetragonal

Lattice parameters (Å, degrees): 7.322 7.322 3.029 90.00 90.00 90.00
Element x y z (fractional)
Zr (0.000, 0.000, 0.000)
Zr (0.500, 0.500, 0.000)
Tc (0.141, 0.359, 0.500)
Tc (0.359, 0.859, 0.500)
Tc (0.641, 0.141, 0.500)
Tc (0.859, 0.641, 0.500)
As (0.153, 0.653, 0.000)
As (0.347, 0.153, 0.000)
As (0.653, 0.847, 0.000)
As (0.847, 0.347, 0.000)

---

Version three
Here is a relaxed ZrTc2As2 crystal from Alexandria via LeMat-Bulk. Energies are from PBE.

## Properties
Space group: I4/mmm
DOS(E_F) in states/eV per cell: 2.869
Crystal system: tetragonal

Lattice parameters (Å, degrees): 5.635 5.635 5.635 135.31 135.31 65.05
Element x y z (fractional)
Zr (0.000, 0.000, 0.000)
Tc (0.250, 0.750, 0.500)
Tc (0.750, 0.250, 0.500)
As (0.371, 0.371, 0.000)
As (0.629, 0.629, 0.000)

---

Of them, version one has the lowest stability.

---

Version one
Here is a relaxed Te3As crystal from Alexandria via LeMat-Bulk. Energies are from PBE.

## Properties
Space group: Pmm2
DOS(E_F) in states/eV per cell: 1.824
Crystal system: orthorhombic

Lattice parameters (Å, degrees): 4.388 6.144 4.391 90.00 90.00 90.00
Element x y z (fractional)
Te (0.000, 0.000, 0.000)
Te (0.000, 0.500, 0.001)
Te (0.500, 0.500, 0.501)
As (0.500, 0.000, 0.500)

---

Version two
Here is a relaxed Te3As crystal from Alexandria via LeMat-Bulk. Energies are from PBE.

## Properties
Space group: Immm
DOS(E_F) in states/eV per cell: 1.987
Crystal system: orthorhombic

Lattice parameters (Å, degrees): 6.684 6.684 6.684 143.62 137.53 57.13
Element x y z (fractional)
Te (0.000, 0.000, 0.000)
Te (0.323, 0.823, 0.500)
Te (0.677, 0.177, 0.500)
As (0.500, 0.500, 0.000)

---

Of them, version two has the lowest stability.

---

Version one
Here is a relaxed Te3As crystal from Alexandria via LeMat-Bulk. Energies are from PBE.

## Properties
Space group: Pmmn
DOS(E_F) in states/eV per cell: 2.776
Crystal system: orthorhombic

Lattice parameters (Å, degrees): 3.860 9.224 7.613 90.00 90.00 90.00
Element x y z (fractional)
Te (0.250, 0.022, 0.136)
Te (0.250, 0.250, 0.568)
Te (0.250, 0.478, 0.136)
Te (0.750, 0.522, 0.864)
Te (0.750, 0.750, 0.432)
Te (0.750, 0.978, 0.864)
As (0.250, 0.750, 0.675)
As (0.750, 0.250, 0.325)

---

Version two
Here is a relaxed Te3As crystal from Alexandria via LeMat-Bulk. Energies are from PBE.

## Properties
Space group: Pm-3n
DOS(E_F) in states/eV per cell: 12.121
Crystal system: cubic

Lattice parameters (Å, degrees): 5.981 5.981 5.981 90.00 90.00 90.00
Element x y z (fractional)
Te (0.000, 0.250, 0.500)
Te (0.000, 0.750, 0.500)
Te (0.250, 0.500, 0.000)
Te (0.500, 0.000, 0.250)
Te (0.500, 0.000, 0.750)
Te (0.750, 0.500, 0.000)
As (0.000, 0.000, 0.000)
As (0.500, 0.500, 0.500)

---

Of them, version two has the lowest stability.

---

Version one
Here is a relaxed TeAs3 crystal from Alexandria via LeMat-Bulk. Energies are from PBE.

## Properties
Space group: P-6m2
DOS(E_F) in states/eV per cell: 1.861
Crystal system: hexagonal

Lattice parameters (Å, degrees): 3.794 3.794 7.498 90.00 90.00 120.00
Element x y z (fractional)
Te (0.000, 0.000, 0.000)
As (0.000, 0.000, 0.500)
As (0.333, 0.667, 0.275)
As (0.333, 0.667, 0.725)

---

Version two
Here is a relaxed TeAs3 crystal from Alexandria via LeMat-Bulk. Energies are from PBE.

## Properties
Space group: I4/mmm
DOS(E_F) in states/eV per cell: 2.509
Crystal system: tetragonal

Lattice parameters (Å, degrees): 13.048 13.048 13.048 163.23 163.23 23.81
Element x y z (fractional)
Te (0.107, 0.107, 0.000)
Te (0.893, 0.893, 0.000)
As (0.000, 0.500, 0.500)
As (0.250, 0.750, 0.500)
As (0.343, 0.343, 0.000)
As (0.500, 0.000, 0.500)
As (0.657, 0.657, 0.000)
As (0.750, 0.250, 0.500)

---

Of them, version two has the lowest stability.

---

Version one
Here is a relaxed Te5As3 crystal from Alexandria via LeMat-Bulk. Energies are from PBE.

## Properties
Space group: Cm
DOS(E_F) in states/eV per cell: 4.337
Crystal system: monoclinic

Lattice parameters (Å, degrees): 8.776 8.776 9.006 102.90 102.90 122.13
Element x y z (fractional)
Te (0.000, 0.000, 0.000)
Te (0.130, 0.886, 0.422)
Te (0.339, 0.916, 0.122)
Te (0.386, 0.997, 0.837)
Te (0.443, 0.668, 0.625)
Te (0.528, 0.528, 0.161)
Te (0.668, 0.443, 0.625)
Te (0.886, 0.130, 0.422)
Te (0.916, 0.339, 0.122)
Te (0.997, 0.386, 0.837)
As (0.111, 0.634, 0.570)
As (0.212, 0.212, 0.861)
As (0.331, 0.331, 0.402)
As (0.625, 0.869, 0.110)
As (0.634, 0.111, 0.570)
As (0.869, 0.625, 0.110)

---

Version two
Here is a relaxed Te5As3 crystal from Alexandria via LeMat-Bulk. Energies are from PBE.

## Properties
Space group: Cmmm
DOS(E_F) in states/eV per cell: 5.173
Crystal system: orthorhombic

Lattice parameters (Å, degrees): 8.436 8.436 4.038 90.00 90.00 122.82
Element x y z (fractional)
Te (0.000, 0.000, 0.000)
Te (0.000, 0.500, 0.000)
Te (0.266, 0.266, 0.500)
Te (0.500, 0.000, 0.000)
Te (0.734, 0.734, 0.500)
As (0.305, 0.695, 0.500)
As (0.500, 0.500, 0.000)
As (0.695, 0.305, 0.500)

---

Of them, version two has the lowest stability.